VASP calculation (GGA-PBEsol) on crystalline La2InBr at its relaxed geometry.

Summary:
ΔE_f (raw) = -911.8 meV per atom
symmetry = No. 25
offset from the most stable computed form = 16 meV/atom
total DFT energy (no corrections) = -19.2 eV/f.u.
DOS at the Fermi energy = 0.53 states/eV per atom
size of the total moment = 0.00 μB/cell

Unit cell a=4.9571 b=6.2621 c=3.9112 alpha=90.00 beta=90.00 gamma=90.00
Positions (direct):
La  0.0000  0.0000  0.0000
La  0.5000  0.5000  0.4985
In  0.0000  0.5000  0.9982
Br  0.5000  0.0000  0.4998